[1]
A relaxed structure of PmYU2P4, computed with PBE-GGA.

Cell lengths 6.8888, 3.9778, 7.0124 Å; angles 90.00, 109.13, 90.00 degrees
Fractional coordinates of all 8 atoms:
Pm  0.0000  0.0000  0.0000
Y  0.5000  0.5000  0.0000
U  0.0000  0.5000  0.5000
U  0.5000  0.0000  0.5000
P  0.2505  0.0000  0.7411
P  0.2574  0.5000  0.2617
P  0.7426  0.5000  0.7383
P  0.7495  0.0000  0.2589

Computed properties:
**Energy of formation**: -1.281 eV per atom



[2]
A relaxed structure of La4SiBr2F, computed with PBE-GGA.

Cell lengths 7.0099, 4.1675, 7.8468 Å; angles 90.00, 108.01, 90.00 degrees
Fractional coordinates of all 8 atoms:
La  0.2299  0.0000  0.2114
La  0.2454  0.5000  0.7889
La  0.7546  0.5000  0.2111
La  0.7701  0.0000  0.7886
Si  0.5000  0.0000  0.0000
Br  0.0000  0.0000  0.5000
Br  0.5000  0.5000  0.5000
F  0.0000  0.5000  0.0000

Computed properties:
**Formation energy (no corrections)**: -1.466 eV per atom



[3]
A relaxed structure of TbTlCdBr6, computed with PBE-GGA.

Cell lengths 7.3110, 7.3110, 14.5679 Å; angles 90.00, 90.00, 120.00 degrees
Fractional coordinates of all 18 atoms:
Tb  0.3333  0.6667  0.2500
Tb  0.6667  0.3333  0.7500
Tl  0.0000  0.0000  0.0000
Tl  0.0000  0.0000  0.5000
Cd  0.3333  0.6667  0.7500
Cd  0.6667  0.3333  0.2500
Br  0.0009  0.3716  0.6382
Br  0.0009  0.6293  0.8618
Br  0.3707  0.3716  0.8618
Br  0.3707  0.9991  0.6382
Br  0.3716  0.0009  0.1382
Br  0.3716  0.3707  0.3618
Br  0.6284  0.6293  0.6382
Br  0.6284  0.9991  0.8618
Br  0.6293  0.0009  0.3618
Br  0.6293  0.6284  0.1382
Br  0.9991  0.3707  0.1382
Br  0.9991  0.6284  0.3618

Computed properties:
**Formation energy (no corrections)**: -1.316 eV per atom



[4]
A relaxed structure of RbAg2Sb2Pb, computed with PBE-GGA.

Cell lengths 4.7507, 4.7507, 9.7456 Å; angles 90.00, 90.00, 120.00 degrees
Fractional coordinates of all 6 atoms:
Rb  0.0000  0.0000  0.0000
Ag  0.3333  0.6667  0.6918
Ag  0.6667  0.3333  0.3082
Sb  0.3333  0.6667  0.2752
Sb  0.6667  0.3333  0.7248
Pb  0.0000  0.0000  0.5000

Computed properties:
**Formation energy (no corrections)**: -0.119 eV per atom